Computed, not measured: an optimized crystal structure of BaRu2Au at the GGA-PBE level of DFT.

Geometry as POSCAR:
```
BaRu2Au
1.0
-0.155 -2.176 1.996
0.767 -2.882 -3.082
6.734 0.570 1.144
Ba Au Ru
1 1 2
Direct
0.500 0.500 0.750
0.500 0.500 0.250
0.000 0.000 0.422
0.000 0.000 0.078
```

Calculated values
Its space-group type is Pmmm. The calculated total energy is -5.2159 eV/atom. The calculation puts the total moment at 1.508 μB per cell. For the density, the calculation gives 10.25 g/cm³. The value obtained for the calculated formation energy is 278.7 kJ/mol of formula units. The energy above the lowest structure with this stoichiometry is 592.1 meV per atom.